PBE-GGA Ac6CdRh2, optimized geometry; M_tot = 0.00 μB/f.u.; energy of formation from the pure elements = -414 meV/atom; polymorph energy (0 for the lowest one) = 0 meV/atom; space-group type = Immm
1.0
8.7697 -0.1385 -3.0997
-4.7617 7.5681 -2.5661
-0.0030 0.1385 9.3014
Ac Cd Rh
12 2 4
Cartesian
-1.9358 5.9472 6.4294 Ac
5.9412 0.1012 0.8987 Ac
5.9409 1.6209 -2.7937 Ac
4.3357 2.6981 3.1683 Ac
1.2812 5.3695 4.2244 Ac
-0.3547 2.3372 6.5368 Ac
-0.3306 4.8700 0.4673 Ac
-1.9361 7.4669 2.7369 Ac
3.3517 5.8088 0.8663 Ac
0.6534 1.7594 2.7693 Ac
2.7239 2.1987 -0.5888 Ac
4.3598 5.2310 -2.9012 Ac
-2.3823 3.8533 3.3676 Cd
0.0000 0.0000 0.0000 Cd
-1.8460 7.5681 -0.5035 Rh
5.8511 0.0000 4.1391 Rh
1.3617 4.7537 -1.9250 Rh
2.6433 2.8144 5.5606 Rh



PBE-GGA AcCd11Rh, optimized geometry; M_tot = 0.00 μB/f.u.; energy of formation from the pure elements = -163 meV/atom; space-group type = C2/m
1.0
5.2389 -0.0161 2.1826
2.5525 7.2130 1.0634
-0.1540 -0.0080 7.7484
Cd Ac Rh
11 1 1
Cartesian
1.2763 3.6065 0.5317 Cd
-0.0770 -0.0040 3.8742 Cd
5.9234 2.5972 7.6183 Cd
4.5551 5.6079 3.5453 Cd
5.5709 5.5999 8.4860 Cd
2.5425 -0.0120 4.9655 Cd
3.0824 1.5810 7.4492 Cd
3.4502 4.5837 6.5879 Cd
4.1873 2.6052 4.4066 Cd
2.0666 1.5890 2.5085 Cd
1.7141 4.5917 3.3762 Cd
0.0000 0.0000 0.0000 Ac
3.8957 3.5985 1.6230 Rh



PBE-GGA Ac4Cd5Rh6, optimized geometry; M_tot = 0.00 μB/f.u.; energy of formation from the pure elements = -409 meV/atom; space-group type = Cmc2_1
1.0
4.3417 0.0000 0.0000
-2.1709 10.7340 0.0000
0.0000 0.0000 15.1434
Rh Ac Cd
12 8 10
Cartesian
0.0000 8.7276 2.1286 Rh
2.1709 8.5232 9.0617 Rh
0.0000 9.0124 7.2797 Rh
2.1709 0.4477 5.4262 Rh
2.1709 1.7216 14.8514 Rh
2.1709 5.9000 14.0631 Rh
0.0000 2.2108 1.4900 Rh
2.1709 2.0064 9.7003 Rh
2.1709 4.8982 4.6014 Rh
0.0000 10.2862 12.9979 Rh
0.0000 4.8340 6.4914 Rh
0.0000 5.8358 12.1731 Rh
0.0000 2.7334 4.4120 Ac
2.1709 10.2557 0.1519 Ac
2.1709 9.3899 4.1670 Ac
0.0000 1.3441 11.7387 Ac
0.0000 3.9594 14.4161 Ac
2.1709 8.0006 11.9837 Ac
0.0000 0.4783 7.7237 Ac
2.1709 6.7746 6.8444 Ac
2.1709 4.3581 11.3105 Cd
2.1709 0.7855 2.5196 Cd
2.1709 6.8444 1.6008 Cd
2.1709 3.1704 7.0893 Cd
0.0000 3.8895 9.1725 Cd
0.0000 9.9485 10.0914 Cd
0.0000 6.7854 9.5302 Cd
0.0000 6.3759 3.7388 Cd
0.0000 7.5636 14.6611 Cd
2.1709 3.9486 1.9585 Cd



Copy entry 3 word for word.
PBE-GGA Ac4Cd5Rh6, optimized geometry; M_tot = 0.00 μB/f.u.; energy of formation from the pure elements = -409 meV/atom; space-group type = Cmc2_1
1.0
4.3417 0.0000 0.0000
-2.1709 10.7340 0.0000
0.0000 0.0000 15.1434
Rh Ac Cd
12 8 10
Cartesian
0.0000 8.7276 2.1286 Rh
2.1709 8.5232 9.0617 Rh
0.0000 9.0124 7.2797 Rh
2.1709 0.4477 5.4262 Rh
2.1709 1.7216 14.8514 Rh
2.1709 5.9000 14.0631 Rh
0.0000 2.2108 1.4900 Rh
2.1709 2.0064 9.7003 Rh
2.1709 4.8982 4.6014 Rh
0.0000 10.2862 12.9979 Rh
0.0000 4.8340 6.4914 Rh
0.0000 5.8358 12.1731 Rh
0.0000 2.7334 4.4120 Ac
2.1709 10.2557 0.1519 Ac
2.1709 9.3899 4.1670 Ac
0.0000 1.3441 11.7387 Ac
0.0000 3.9594 14.4161 Ac
2.1709 8.0006 11.9837 Ac
0.0000 0.4783 7.7237 Ac
2.1709 6.7746 6.8444 Ac
2.1709 4.3581 11.3105 Cd
2.1709 0.7855 2.5196 Cd
2.1709 6.8444 1.6008 Cd
2.1709 3.1704 7.0893 Cd
0.0000 3.8895 9.1725 Cd
0.0000 9.9485 10.0914 Cd
0.0000 6.7854 9.5302 Cd
0.0000 6.3759 3.7388 Cd
0.0000 7.5636 14.6611 Cd
2.1709 3.9486 1.9585 Cd